Ho2PuFeO8 | PBE with a Hubbard U | optimized geometry

Values from the calculation:
mass density = 7.584 g cm⁻³
calculated total energy = -200.2 eV/cell
size of the total moment = 6.00 μB per formula unit

Lattice parameters (Å, degrees): 6.8130 7.1925 6.7714 90.00 90.00 90.00
Closest atoms and distances in Å follow each position.
Space group Cmmm (No. 65)
Inequivalent atoms, fractional coordinates:
Ho  0.0000  0.0000  0.2376 x4  6 O 2.19-2.30
Pu  0.0000  0.5000  0.5000 x2  6 O 1.99-2.04
Fe  0.0000  0.5000  0.0000 x2  2 O 1.92
O  0.0000  0.3186  0.2676 x8  1 Pu 2.04, 1 Fe 2.23
O  0.2081  0.0000  0.5000 x4  1 Pu 1.99
O  0.2181  0.0000  0.0000 x4  1 Fe 1.92